! GGA-PBE KMnPd, relaxed; values from VASP
! ΔH_f (0 K): 538 meV per atom
! Relative energy among the computed polymorphs: 37.85 kJ/mol of atoms
&SYSTEM
  ibrav = 0, nat = 12, ntyp = 3
/
ATOMIC_SPECIES
K 39.10 K.upf
Mn 54.94 Mn.upf
Pd 106.42 Pd.upf
CELL_PARAMETERS angstrom
8.859 0.000 0.000
0.000 2.992 0.000
0.000 0.000 10.554
ATOMIC_POSITIONS angstrom
K 0.692 0.748 1.800
K 3.738 2.244 7.077
K 5.121 0.748 3.477
K 8.167 2.244 8.755
Mn 0.592 0.748 5.610
Mn 3.838 2.244 0.333
Mn 5.021 0.748 10.221
Mn 8.267 2.244 4.944
Pd 2.156 2.244 4.282
Pd 2.273 0.748 9.560
Pd 6.586 2.244 0.995
Pd 6.703 0.748 6.272